# 1
Computed, not measured: PmPr2Dy3Bi6 after structural relaxation at the PBE level of DFT.

a b c (Å): 4.5512 9.0931 10.1650
angles (deg): 102.80 102.94 90.00
With the nearest neighbours (Å) after each atom.
Atoms (fractional coordinates):
Pr1 0.1663 0.3329 0.3325  6 Bi 3.26-3.27
Pr2 0.8337 0.6671 0.6675  6 Bi 3.26-3.27
Dy1 0.1672 0.8336 0.3344  6 Bi 3.17-3.18
Dy2 0.5000 0.5000 0.0000  6 Bi 3.17-3.19
Dy3 0.8328 0.1664 0.6656  6 Bi 3.17-3.18
Bi1 0.3320 0.9234 0.6641  3 Dy 3.17-3.18, 1 Pm 3.24, 2 Pr 3.26
Bi2 0.6680 0.0766 0.3359  3 Dy 3.17-3.18, 1 Pm 3.24, 2 Pr 3.26
Bi3 0.9972 0.2532 0.9944  3 Dy 3.17-3.19, 2 Pm 3.25, 1 Pr 3.26
Bi4 0.6644 0.5893 0.3287  3 Dy 3.17, 3 Pr 3.26-3.27
Bi5 0.0028 0.7468 0.0056  3 Dy 3.17-3.19, 2 Pm 3.25, 1 Pr 3.26
Bi6 0.3356 0.4107 0.6713  3 Dy 3.17, 3 Pr 3.26-3.27
Pm1 0.5000 0.0000 0.0000  6 Bi 3.24-3.25

space group	C2/m (12)

# 2
Computed, not measured: NaV2As2 after structural relaxation at the PBE level of DFT.

a b c (Å): 4.7560 4.7560 5.2369
angles (deg): 62.99 62.99 90.00
With the nearest neighbours (Å) after each atom.
Atoms (fractional coordinates):
Na1 0.0000 0.0000 0.0000  2 V 2.97, 8 As 3.11
V1 0.6299 0.6299 0.7402  1 V 2.09
V2 0.3701 0.3701 0.2598  1 V 2.09
As1 0.7500 0.2500 0.5000  4 V 2.57
As2 0.2500 0.7500 0.5000  4 V 2.57

space group	I4/mmm (139)

# 3
Computed, not measured: PrPOs after structural relaxation at the PBE level of DFT.

a b c (Å): 3.9623 7.8909 7.8909
angles (deg): 90.00 90.00 90.00
With the nearest neighbours (Å) after each atom.
Atoms (fractional coordinates):
Pr1 0.5000 0.2907 0.0613  5 P 2.91-3.21
Pr2 0.0000 0.0613 0.7093  5 P 2.91-3.21
Pr3 0.0000 0.9387 0.2907  5 P 2.91-3.21
Pr4 0.5000 0.7093 0.9387  5 P 2.91-3.21
Os1 0.0000 0.6405 0.6019  3 P 2.38-2.40
Os2 0.0000 0.3595 0.3981  3 P 2.38-2.40
Os3 0.5000 0.6019 0.3595  3 P 2.38-2.40
Os4 0.5000 0.3981 0.6405  3 P 2.38-2.40
P1 0.5000 0.8074 0.5834  3 Os 2.38-2.40
P2 0.5000 0.1926 0.4166  3 Os 2.38-2.40
P3 0.0000 0.4166 0.8074  3 Os 2.38-2.40
P4 0.0000 0.5834 0.1926  3 Os 2.38-2.40

space group	P4_2/m (84)

# 4
Computed, not measured: Cr3AgSn after structural relaxation at the PBE level of DFT.

a b c (Å): 5.1348 5.1348 5.1348
angles (deg): 90.00 90.00 90.00
With the nearest neighbours (Å) after each atom.
Atoms (fractional coordinates):
Cr1 0.0000 0.5000 0.0000  2 Sn 2.57
Cr2 0.5000 0.0000 0.0000  2 Sn 2.57
Cr3 0.0000 0.0000 0.5000  2 Sn 2.57
Sn1 0.0000 0.0000 0.0000  6 Cr 2.57
Ag1 0.5000 0.5000 0.5000  12 Cr 3.63

space group	Pm-3m (221)

# 5
Computed, not measured: Er2Fe2Si2C after structural relaxation at the PBE level of DFT.

a b c (Å): 5.6041 5.6041 6.6786
angles (deg): 53.39 53.39 40.79
With the nearest neighbours (Å) after each atom.
Atoms (fractional coordinates):
Si1 0.8401 0.8401 0.7128  3 Fe 2.28-2.31
Si2 0.1599 0.1599 0.2872  3 Fe 2.28-2.31
Fe1 0.7980 0.7980 0.0969  1 C 1.78
Fe2 0.2020 0.2020 0.9031  1 C 1.78
Er1 0.5590 0.5590 0.7074  2 C 2.54
Er2 0.4410 0.4410 0.2926  2 C 2.54
C1 0.0000 0.0000 0.0000  2 Fe 1.78

space group	C2/m (12)

# 6
Computed, not measured: Ba2TcCl2O4 after structural relaxation at the PBE level of DFT.

a b c (Å): 6.1092 6.1092 6.1092
angles (deg): 96.30 116.43 116.43
With the nearest neighbours (Å) after each atom.
Atoms (fractional coordinates):
Cl1 0.0000 0.7026 0.7026  1 Tc 2.42
Cl2 0.0000 0.2974 0.2974  1 Tc 2.42
O1 0.0000 0.7928 0.2072  1 Tc 1.89
O2 0.5856 0.7928 0.7928  1 Tc 1.89
O3 0.0000 0.2072 0.7928  1 Tc 1.89
O4 0.4144 0.2072 0.2072  1 Tc 1.89
Tc1 0.0000 0.0000 0.0000  4 O 1.89
Ba1 0.5000 0.7500 0.2500  8 O 3.08, 4 Cl 3.24
Ba2 0.5000 0.2500 0.7500  8 O 3.08, 4 Cl 3.24

space group	I4/mmm (139)

# 7
Computed, not measured: LiTc2Se after structural relaxation at the PBE level of DFT.

a b c (Å): 4.1874 4.1874 3.1074
angles (deg): 90.00 90.00 90.00
With the nearest neighbours (Å) after each atom.
Atoms (fractional coordinates):
Se1 0.0000 0.5000 0.5000  8 Tc 2.61
Tc1 0.0000 0.0000 0.0000  4 Li 2.61, 4 Se 2.61
Tc2 0.5000 0.5000 0.0000  4 Se 2.61, 4 Li 2.61
Li1 0.5000 0.0000 0.5000  8 Tc 2.61

space group	P4/mmm (123)

# 8
Computed, not measured: Al2CuSi after structural relaxation at the PBE level of DFT.

a b c (Å): 4.6674 4.6674 2.7981
angles (deg): 90.01 90.01 108.43
With the nearest neighbours (Å) after each atom.
Atoms (fractional coordinates):
Si1 0.0000 0.5000 0.5000  8 Al 2.72, 2 Cu 2.73, 2 Si 2.80
Al1 0.5000 0.5000 0.0000  4 Si 2.72, 4 Cu 2.72, 4 Al 2.73-2.80
Al2 0.0000 0.0000 0.0000  4 Cu 2.72, 4 Si 2.72, 4 Al 2.73-2.80
Cu1 0.5000 0.0000 0.5000  8 Al 2.72, 2 Si 2.73, 2 Cu 2.80

space group	Cmmm (65)

# 9
Computed, not measured: Zr5Ir after structural relaxation at the PBE level of DFT.

a b c (Å): 5.2811 5.2811 5.2263
angles (deg): 90.00 90.00 120.00
With the nearest neighbours (Å) after each atom.
Atoms (fractional coordinates):
Zr1 0.3149 0.3149 0.0000  10 Zr 2.88-3.18, 2 Ir 3.10
Zr2 0.6851 0.0000 0.0000  10 Zr 2.88-3.18, 2 Ir 3.10
Zr3 0.3333 0.6667 0.5000  9 Zr 3.05-3.18, 3 Ir 3.05
Zr4 0.6667 0.3333 0.5000  9 Zr 3.05-3.18, 3 Ir 3.05
Zr5 0.0000 0.6851 0.0000  10 Zr 2.88-3.18, 2 Ir 3.10
Ir1 0.0000 0.0000 0.5000  12 Zr 3.05-3.10

space group	P-62m (189)

# 10
Computed, not measured: SmTm5Sn3 after structural relaxation at the PBE level of DFT.

a b c (Å): 7.4103 7.4103 10.9035
angles (deg): 109.87 109.87 90.00
With the nearest neighbours (Å) after each atom.
Atoms (fractional coordinates):
Sn1 0.1291 0.3709 0.0000  1 Sn 2.71, 4 Tm 2.91-3.01
Sn2 0.8709 0.6291 0.0000  1 Sn 2.71, 4 Tm 2.91-3.01
Sn3 0.7500 0.7500 0.5000  8 Tm 3.60, 4 Sm 3.71
Sn4 0.2500 0.2500 0.5000  8 Tm 3.60, 4 Sm 3.71
Sn5 0.3709 0.8709 0.0000  1 Sn 2.71, 4 Tm 2.91-3.01
Sn6 0.6291 0.1291 0.0000  1 Sn 2.71, 4 Tm 2.91-3.01
Tm1 0.4296 0.3189 0.2485  1 Sn 3.01, 1 Sm 3.15
Tm2 0.1811 0.0704 0.7515  1 Sn 3.01, 1 Sm 3.15
Tm3 0.6811 0.1811 0.7515  1 Sn 3.01, 1 Sm 3.15
Tm4 0.5704 0.6811 0.7515  1 Sn 3.01, 1 Sm 3.15
Tm5 0.8189 0.9296 0.2485  1 Sn 3.01, 1 Sm 3.15
Tm6 0.0000 0.0000 0.0000  4 Sn 2.91
Tm7 0.0704 0.5704 0.7515  1 Sn 3.01, 1 Sm 3.15
Tm8 0.9296 0.4296 0.2485  1 Sn 3.01, 1 Sm 3.15
Tm9 0.3189 0.8189 0.2485  1 Sn 3.01, 1 Sm 3.15
Tm10 0.5000 0.5000 0.0000  4 Sn 2.91
Sm1 0.2500 0.7500 0.5000  4 Tm 3.15
Sm2 0.7500 0.2500 0.5000  4 Tm 3.15

space group	I4/mcm (140)

# 11
Computed, not measured: SrCe3Pr2N6 after structural relaxation at the PBE level of DFT.

a b c (Å): 3.6307 7.2799 8.1228
angles (deg): 102.92 102.91 90.00
With the nearest neighbours (Å) after each atom.
Atoms (fractional coordinates):
N1 0.3239 0.9259 0.6478  3 Ce 2.42-2.50, 2 Pr 2.65
N2 0.6639 0.5938 0.3278  3 Ce 2.51-2.53, 3 Pr 2.59-2.63
N3 0.9937 0.2758 0.9875  3 Ce 2.43-2.49, 1 Pr 2.69
N4 0.3361 0.4062 0.6722  3 Ce 2.51-2.53, 3 Pr 2.59-2.63
N5 0.0063 0.7242 0.0125  3 Ce 2.43-2.49, 1 Pr 2.69
N6 0.6761 0.0741 0.3522  3 Ce 2.42-2.50, 2 Pr 2.65
Pr1 0.8321 0.6651 0.6642  6 N 2.59-2.69
Pr2 0.1679 0.3349 0.3358  6 N 2.59-2.69
Ce1 0.5000 0.5000 0.0000  6 N 2.43-2.53
Ce2 0.8330 0.1667 0.6661  6 N 2.42-2.51
Ce3 0.1670 0.8333 0.3339  6 N 2.42-2.51
Sr1 0.5000 0.0000 0.0000  6 N 2.72-2.73

space group	C2/m (12)

# 12
Computed, not measured: NaTmHg4 after structural relaxation at the PBE level of DFT.

a b c (Å): 3.8184 5.5822 7.8348
angles (deg): 100.83 75.90 70.00
With the nearest neighbours (Å) after each atom.
Atoms (fractional coordinates):
Tm1 0.5000 0.5000 0.5000  10 Hg 3.15-3.26
Hg1 0.8388 0.4917 0.8306  2 Tm 3.17, 5 Hg 3.19-3.24, 3 Na 3.21-3.22
Hg2 0.1612 0.5083 0.1694  2 Tm 3.17, 5 Hg 3.19-3.24, 3 Na 3.21-3.22
Hg3 0.3275 0.0081 0.3369  5 Hg 3.15-3.24, 3 Tm 3.15-3.26, 2 Na 3.18
Hg4 0.6725 0.9919 0.6631  5 Hg 3.15-3.24, 3 Tm 3.15-3.26, 2 Na 3.18
Na1 0.0000 0.0000 0.0000  10 Hg 3.18-3.22

space group	C2/m (12)

# 13
Computed, not measured: NaSc2TcMo after structural relaxation at the PBE level of DFT.

a b c (Å): 5.1760 4.6750 5.1760
angles (deg): 90.00 90.00 90.00
With the nearest neighbours (Å) after each atom.
Atoms (fractional coordinates):
Sc1 0.5000 0.0000 0.0000  2 Mo 2.59
Sc2 0.0000 0.0000 0.5000  2 Mo 2.59
Na1 0.5000 0.5000 0.5000  8 Sc 3.49, 4 Tc 3.66
Mo1 0.0000 0.0000 0.0000  2 Tc 2.34, 4 Sc 2.59
Tc1 0.0000 0.5000 0.0000  2 Mo 2.34

space group	P4/mmm (123)

# 14
Computed, not measured: LiC2O after structural relaxation at the PBE level of DFT.

a b c (Å): 3.7497 6.5283 5.2372
angles (deg): 155.90 100.90 62.40
With the nearest neighbours (Å) after each atom.
Atoms (fractional coordinates):
C1 0.6426 0.2584 0.6662  2 C 1.46
C2 0.1441 0.6846 0.9489  1 O 1.32, 2 C 1.46
O1 0.1468 0.5512 0.5549  1 C 1.32
Li1 0.6491 0.4701 0.3122  4 O 2.04-2.05, 1 C 2.20

space group	P1 (1)

# 15
Computed, not measured: Co4TcOs after structural relaxation at the PBE level of DFT.

a b c (Å): 4.6152 4.6152 4.6152
angles (deg): 60.00 60.00 60.00
With the nearest neighbours (Å) after each atom.
Atoms (fractional coordinates):
Co1 0.8744 0.3752 0.3752  6 Co 2.30-2.31
Co2 0.3752 0.8744 0.3752  6 Co 2.30-2.31
Co3 0.3752 0.3752 0.3752  6 Co 2.30-2.31
Co4 0.3752 0.3752 0.8744  6 Co 2.30-2.31
Os1 0.7500 0.7500 0.7500  12 Co 2.71, 4 Tc 2.83
Tc1 0.0000 0.0000 0.0000  12 Co 2.71, 4 Os 2.83

space group	F-43m (216)

# 16
Computed, not measured: AcPm3Nd2 after structural relaxation at the PBE level of DFT.

a b c (Å): 3.5838 6.7676 9.8864
angles (deg): 110.02 100.44 90.00
With the nearest neighbours (Å) after each atom.
Atoms (fractional coordinates):
Pm1 0.1479 0.2770 0.2958  3 Pm 3.30-3.58, 4 Nd 3.46-3.51, 2 Ac 3.65
Pm2 0.8521 0.9812 0.7042  3 Pm 3.30-3.58, 4 Nd 3.46-3.51, 2 Ac 3.65
Pm3 0.0000 0.8473 0.0000  4 Pm 3.30-3.58, 2 Ac 3.64
Ac1 0.5000 0.3786 0.0000  2 Ac 3.58, 6 Pm 3.64-3.65
Nd1 0.1866 0.8160 0.3733  5 Pm 3.46-3.71, 2 Nd 3.58
Nd2 0.8134 0.4427 0.6267  5 Pm 3.46-3.71, 2 Nd 3.58

space group	Imm2 (44)

# 17
Computed, not measured: TaSiS2N after structural relaxation at the PBE level of DFT.

a b c (Å): 4.6996 4.6996 3.2700
angles (deg): 90.00 90.00 90.00
With the nearest neighbours (Å) after each atom.
Atoms (fractional coordinates):
S1 0.0000 0.5000 0.0000  2 Si 2.35
S2 0.5000 0.0000 0.0000  2 Si 2.35
Si1 0.0000 0.0000 0.0000  2 N 1.63
N1 0.0000 0.0000 0.5000  2 Si 1.63
Ta1 0.5000 0.5000 0.5000  8 S 2.86

space group	P4/mmm (123)

# 18
Computed, not measured: NiRuRh3 after structural relaxation at the PBE level of DFT.

a b c (Å): 2.6944 8.1340 6.5681
angles (deg): 106.85 90.00 90.00
With the nearest neighbours (Å) after each atom.
Atoms (fractional coordinates):
Rh1 0.7500 0.8566 0.8834  8 Rh 2.69-2.77, 3 Ru 2.72-2.78, 2 Ni 2.96
Rh2 0.7500 0.3451 0.9077  3 Ni 2.50-2.64, 5 Rh 2.63-2.77, 2 Ru 2.67
Rh3 0.2500 0.7401 0.5104  3 Ni 2.43-2.56, 3 Ru 2.57-2.67, 5 Rh 2.63-2.71
Rh4 0.2500 0.1434 0.1166  8 Rh 2.69-2.77, 3 Ru 2.72-2.78, 2 Ni 2.96
Rh5 0.2500 0.6549 0.0923  3 Ni 2.50-2.64, 5 Rh 2.63-2.77, 2 Ru 2.67
Rh6 0.7500 0.2599 0.4896  3 Ni 2.43-2.56, 3 Ru 2.57-2.67, 5 Rh 2.63-2.71
Ru1 0.2500 0.0667 0.6858  8 Rh 2.57-2.78, 4 Ru 2.69-2.72
Ru2 0.7500 0.9333 0.3142  8 Rh 2.57-2.78, 4 Ru 2.69-2.72
Ni1 0.2500 0.5228 0.6978  6 Rh 2.43-2.64, 2 Ni 2.69
Ni2 0.7500 0.4772 0.3022  6 Rh 2.43-2.64, 2 Ni 2.69

space group	P2_1/m (11)

# 19
Computed, not measured: CdIrPt2 after structural relaxation at the PBE level of DFT.

a b c (Å): 2.8270 2.8270 8.1349
angles (deg): 90.00 90.00 89.97
With the nearest neighbours (Å) after each atom.
Atoms (fractional coordinates):
Pt1 0.0000 0.0000 0.9851  4 Ir 2.77, 4 Pt 2.83, 4 Cd 2.94
Pt2 0.0000 0.0000 0.5149  4 Ir 2.77, 4 Pt 2.83, 4 Cd 2.94
Cd1 0.5000 0.5000 0.2500  4 Cd 2.83, 8 Pt 2.94
Ir1 0.5000 0.5000 0.7500  8 Pt 2.77, 4 Ir 2.83

space group	P4/mmm (123)

# 20
Computed, not measured: Li4SiRu after structural relaxation at the PBE level of DFT.

a b c (Å): 4.6661 4.6661 4.6661
angles (deg): 60.00 60.00 60.00
With the nearest neighbours (Å) after each atom.
Atoms (fractional coordinates):
Li1 0.3760 0.8720 0.3760  6 Li 2.31-2.35
Li2 0.3760 0.3760 0.8720  6 Li 2.31-2.35
Li3 0.3760 0.3760 0.3760  6 Li 2.31-2.35
Li4 0.8720 0.3760 0.3760  6 Li 2.31-2.35
Si1 0.0000 0.0000 0.0000  12 Li 2.74, 4 Ru 2.86
Ru1 0.7500 0.7500 0.7500  12 Li 2.73, 4 Si 2.86

space group	F-43m (216)

# 21
Computed, not measured: Sr8InIr2 after structural relaxation at the PBE level of DFT.

a b c (Å): 6.0892 8.5489 8.5489
angles (deg): 111.17 97.22 97.22
With the nearest neighbours (Å) after each atom.
Atoms (fractional coordinates):
Sr1 0.7870 0.6201 0.6201  2 Ir 3.20
Sr2 0.2129 0.3863 0.3863  2 Ir 3.20
Sr3 0.5791 0.3326 0.0608  2 Ir 3.12-3.18
Sr4 0.9998 0.7551 0.2510  2 Ir 3.19, 1 In 3.50
Sr5 0.4204 0.6734 0.9454  2 Ir 3.12-3.18
Sr6 0.4204 0.9454 0.6734  2 Ir 3.12-3.18
Sr7 0.5791 0.0608 0.3326  2 Ir 3.12-3.18
Sr8 0.9998 0.2510 0.7551  2 Ir 3.19, 1 In 3.50
Ir1 0.4998 0.3185 0.6877  8 Sr 3.12-3.20
Ir2 0.4998 0.6877 0.3185  8 Sr 3.12-3.20
In1 0.0017 0.0031 0.0031  4 Sr 3.50-3.64

space group	Cm (8)

# 22
Computed, not measured: DyMg2Pd after structural relaxation at the PBE level of DFT.

a b c (Å): 4.8716 4.8716 4.8738
angles (deg): 60.02 60.02 60.00
With the nearest neighbours (Å) after each atom.
Atoms (fractional coordinates):
Dy1 0.0000 0.0000 0.0000  8 Mg 2.98
Pd1 0.5000 0.5000 0.5000  8 Mg 2.98-2.99
Mg1 0.2499 0.2499 0.2504  4 Pd 2.98-2.99, 4 Dy 2.98
Mg2 0.7501 0.7501 0.7496  4 Pd 2.98-2.99, 4 Dy 2.98

space group	Fm-3m (225)

# 23
Computed, not measured: PdPbSe after structural relaxation at the PBE level of DFT.

a b c (Å): 6.4997 6.4997 6.4997
angles (deg): 90.00 90.00 90.00
With the nearest neighbours (Å) after each atom.
Atoms (fractional coordinates):
Se1 0.3733 0.1267 0.8733  3 Pd 2.59
Se2 0.6267 0.6267 0.6267  3 Pd 2.59
Se3 0.8733 0.3733 0.1267  3 Pd 2.59
Se4 0.1267 0.8733 0.3733  3 Pd 2.59
Pb1 0.1316 0.6316 0.8684  3 Pd 2.80, 1 Se 2.91
Pb2 0.6316 0.8684 0.1316  3 Pd 2.80, 1 Se 2.91
Pb3 0.3684 0.3684 0.3684  3 Pd 2.80, 1 Se 2.91
Pb4 0.8684 0.1316 0.6316  3 Pd 2.80, 1 Se 2.91
Pd1 0.9810 0.5190 0.4810  3 Se 2.59, 3 Pb 2.80
Pd2 0.5190 0.4810 0.9810  3 Se 2.59, 3 Pb 2.80
Pd3 0.0190 0.0190 0.0190  3 Se 2.59, 3 Pb 2.80
Pd4 0.4810 0.9810 0.5190  3 Se 2.59, 3 Pb 2.80

space group	P2_13 (198)

no.,uncorrected energy (eV/atom)
1,-5.187
2,-5.761
3,-7.860
4,-5.807
5,-7.293
6,-6.075
7,-6.205
8,-4.219
9,-8.685
10,-4.560
11,-7.917
12,-1.448
13,-6.317
14,-6.567
15,-8.194
16,-4.410
17,-6.475
18,-7.308
19,-5.518
20,-3.610
21,-3.260
22,-3.509
23,-4.496